Compound: Pa2GaCoN5
Source: the Alexandria database
Functional: PBE
Structure: relaxed

abc: 3.3695 13.7561 9.0582
angles: 90.00 90.00 90.00
Closest atoms and distances in Å follow each position.
Space group Cmc2_1 (No. 36)
One atom of each set of equivalent atoms:
Pa 0.0000 0.1311 0.0000 [4 per cell]  6 N 2.28-2.51
Pa 0.0000 0.1346 0.4367 [4 per cell]  5 N 2.22-2.45
Ga 0.0000 0.4807 0.2085 [4 per cell]  4 N 1.91-2.07
Co 0.0000 0.2248 0.7210 [4 per cell]  6 N 1.97-2.18
N 0.0000 0.0820 0.7332 [4 per cell]  2 Ga 1.91, 1 Co 1.97
N 0.0000 0.2898 0.0720 [4 per cell]  2 Co 2.17, 3 Pa 2.28-2.33
N 0.0000 0.2901 0.3720 [4 per cell]  2 Co 2.18, 3 Pa 2.22-2.32
N 0.0000 0.3720 0.7412 [4 per cell]  1 Co 2.03, 1 Ga 2.05
N 0.0000 0.4941 0.4831 [4 per cell]  1 Ga 2.07

Computed properties:
DFT total energy = -8.72 eV/atom
Total magnetic moment = 4.05 Bohr magnetons per cell
Formation energy without anion corrections = -747 kJ/mol of formula units
Calculated volume = 420 Å³/cell